# Ho3TmAg4S8 (PBE, relaxed)
# **ΔE_f (raw)**: -29.56 kcal/mol of atoms
# **Total magnetization**: 0.000 μB/atom
# **Raw total energy**: -5.20 eV per atom
data_Ho3TmAg4S8
_chemical_formula_sum 'Ho6 Tm2 Ag8 S16'
_cell_length_a 13.170
_cell_length_b 7.992
_cell_length_c 7.735
_cell_angle_alpha 90.00
_cell_angle_beta 122.92
_cell_angle_gamma 90.00
_space_group_name_H-M_alt 'C 1 2/m 1'
_space_group_IT_number 12
loop_
_space_group_symop_operation_xyz
'x,y,z'
'-x,-y,-z'
'-x,y,-z'
'x,-y,z'
'x+1/2,y+1/2,z'
'-x+1/2,-y+1/2,-z'
'-x+1/2,y+1/2,-z'
'x+1/2,-y+1/2,z'
loop_
_atom_site_label
_atom_site_type_symbol
_atom_site_fract_x
_atom_site_fract_y
_atom_site_fract_z
Ho1 Ho 0.000 0.000 0.000
Ho2 Ho 0.250 0.250 0.500
Tm1 Tm 0.000 0.500 0.000
Ag1 Ag 0.000 0.000 0.500
Ag2 Ag 0.000 0.500 0.500
Ag3 Ag 0.250 0.250 0.000
S1 S 0.003 0.251 0.244
S2 S 0.246 0.500 0.253
S3 S 0.247 0.000 0.255